1.
Ca2SmUSb4 | PBE | optimized geometry

## Properties
ρ: 6241 kg/m³
SG: No. 10
E_form (uncorrected): -75.97 kJ per mole of atoms
volume: 31.8 Å³ per atom
Fermi-level density of states: 0.757 states/eV per atom

Cell lengths 4.5006, 7.7385, 7.7446 Å; angles 109.51, 90.00, 90.00 degrees
Site moments in Bohr magnetons follow the coordinates.
Atoms (fractional coordinates):
Sm 0.5000 0.5000 0.0000  -0.03
Ca 0.0000 0.5000 0.5000  -0.03
Ca 0.5000 0.0000 0.5000  -0.01
Sb 0.0000 0.7566 0.2379  -0.04
Sb 0.5000 0.2365 0.2339  -0.06
Sb 0.0000 0.2434 0.7621  -0.04
Sb 0.5000 0.7635 0.7661  -0.06
U 0.0000 0.0000 0.0000  1.70

=====

2.
Ca5Sn2Sb | PBE | optimized geometry

## Properties
ρ: 3696 kg/m³
SG: No. 140
E_form (uncorrected): -72.60 kJ per mole of atoms
volume: 31.4 Å³ per atom
Fermi-level density of states: 0.208 states/eV per atom

Cell lengths 8.1690, 8.1690, 9.4938 Å; angles 115.48, 115.48, 90.00 degrees
Atoms (fractional coordinates):
Sn 0.1278 0.3722 0.0000
Sn 0.8722 0.6278 0.0000
Sn 0.6278 0.1278 0.0000
Sn 0.3722 0.8722 0.0000
Ca 0.5222 0.6862 0.7083
Ca 0.0222 0.5222 0.7083
Ca 0.1862 0.0222 0.7083
Ca 0.8138 0.9778 0.2917
Ca 0.4778 0.3138 0.2917
Ca 0.9778 0.4778 0.2917
Ca 0.3138 0.8138 0.2917
Ca 0.5000 0.5000 0.0000
Ca 0.0000 0.0000 0.0000
Ca 0.6862 0.1862 0.7083
Sb 0.2500 0.2500 0.5000
Sb 0.7500 0.7500 0.5000

=====

3.
Ca8Sn2Sb | PBE | optimized geometry

## Properties
ρ: 3027 kg/m³
SG: No. 12
E_form (uncorrected): -48.92 kJ per mole of atoms
volume: 33.9 Å³ per atom
Fermi-level density of states: 0.761 states/eV per atom

Cell lengths 5.2253, 7.4225, 10.1784 Å; angles 101.79, 104.87, 90.00 degrees
Atoms (fractional coordinates):
Ca 0.5945 0.4505 0.1891
Ca 0.3397 0.0318 0.6794
Ca 0.7886 0.6894 0.5773
Ca 0.9710 0.2245 0.9419
Ca 0.2114 0.3106 0.4227
Ca 0.6603 0.9682 0.3206
Ca 0.4055 0.5495 0.8109
Ca 0.0290 0.7755 0.0581
Sb 0.5000 0.0000 0.0000
Sn 0.8093 0.2705 0.6186
Sn 0.1907 0.7295 0.3814

=====

4.
Ca3SnSb4 | PBE | optimized geometry

## Properties
ρ: 4557 kg/m³
SG: No. 62
E_form (uncorrected): -55.97 kJ per mole of atoms
volume: 33.1 Å³ per atom
Fermi-level density of states: 0.241 states/eV per atom

Cell lengths 9.2261, 12.0115, 9.5482 Å; angles 90.00, 90.00, 90.00 degrees
Atoms (fractional coordinates):
Sn 0.2259 0.9820 0.7500
Sn 0.2741 0.4820 0.2500
Sn 0.7741 0.0180 0.2500
Sn 0.7259 0.5180 0.7500
Ca 0.6306 0.3884 0.2500
Ca 0.9411 0.6472 0.4391
Ca 0.4411 0.8528 0.0609
Ca 0.5589 0.1472 0.5609
Ca 0.1306 0.1116 0.2500
Ca 0.9411 0.6472 0.0609
Ca 0.5589 0.1472 0.9391
Ca 0.3694 0.6116 0.7500
Ca 0.4411 0.8528 0.4391
Ca 0.0589 0.3528 0.9391
Ca 0.8694 0.8884 0.7500
Ca 0.0589 0.3528 0.5609
Sb 0.2842 0.2170 0.7500
Sb 0.4744 0.0932 0.2500
Sb 0.5256 0.9068 0.7500
Sb 0.4114 0.3968 0.9848
Sb 0.5886 0.6032 0.4848
Sb 0.0256 0.5932 0.7500
Sb 0.5886 0.6032 0.0152
Sb 0.9114 0.1032 0.9848
Sb 0.0886 0.8968 0.0152
Sb 0.4114 0.3968 0.5152
Sb 0.9114 0.1032 0.5152
Sb 0.7842 0.2830 0.7500
Sb 0.2158 0.7170 0.2500
Sb 0.0886 0.8968 0.4848
Sb 0.7158 0.7830 0.2500
Sb 0.9744 0.4068 0.2500

=====

5.
Ca2SnSb | PBE | optimized geometry

## Properties
ρ: 4641 kg/m³
SG: No. 123
E_form (uncorrected): -68.07 kJ per mole of atoms
volume: 28.7 Å³ per atom
Fermi-level density of states: 0.386 states/eV per atom

Cell lengths 4.3526, 5.1336, 5.1336 Å; angles 90.00, 90.00, 90.00 degrees
Atoms (fractional coordinates):
Sn 0.5000 0.5000 0.5000
Sb 0.5000 0.0000 0.0000
Ca 0.0000 0.0000 0.5000
Ca 0.0000 0.5000 0.0000

=====

6.
Ca7Sn5Sb | PBE | optimized geometry

## Properties
ρ: 4000 kg/m³
SG: No. 44
E_form (uncorrected): -45.16 kJ per mole of atoms
volume: 31.8 Å³ per atom
Fermi-level density of states: 0.512 states/eV per atom

Cell lengths 6.5776, 8.5849, 8.5849 Å; angles 83.29, 67.47, 67.47 degrees
Atoms (fractional coordinates):
Sn 0.7901 0.7099 0.7099
Sn 0.0245 0.4819 0.9917
Sn 0.0245 0.9917 0.4819
Sn 0.5018 0.4819 0.9917
Sn 0.5018 0.9917 0.4819
Ca 0.6499 0.3501 0.3501
Ca 0.5342 0.1306 0.8011
Ca 0.2746 0.2254 0.2254
Ca 0.0045 0.2897 0.7012
Ca 0.2188 0.7812 0.7812
Ca 0.0045 0.7012 0.2897
Ca 0.5342 0.8011 0.1306
Sb 0.9366 0.0634 0.0634

=====

7.
Ca3SnSb2 | PBE | optimized geometry

## Properties
ρ: 4181 kg/m³
SG: No. 62
E_form (uncorrected): -67.78 kJ per mole of atoms
volume: 31.9 Å³ per atom
Fermi-level density of states: 0.135 states/eV per atom

Cell lengths 4.6729, 12.9689, 12.6462 Å; angles 90.00, 90.00, 90.00 degrees
Atoms (fractional coordinates):
Sn 0.7500 0.6283 0.3765
Sn 0.7500 0.8717 0.8765
Sn 0.2500 0.3717 0.6235
Sn 0.2500 0.1283 0.1235
Ca 0.7500 0.2611 0.7515
Ca 0.2500 0.0517 0.8756
Ca 0.7500 0.5517 0.6244
Ca 0.2500 0.1200 0.5384
Ca 0.7500 0.9483 0.1244
Ca 0.7500 0.6200 0.9616
Ca 0.2500 0.3800 0.0384
Ca 0.7500 0.8800 0.4616
Ca 0.2500 0.7389 0.2485
Ca 0.7500 0.2389 0.2515
Ca 0.2500 0.7611 0.7485
Ca 0.2500 0.4483 0.3756
Sb 0.2500 0.9845 0.3188
Sb 0.7500 0.2956 0.4856
Sb 0.7500 0.4845 0.1812
Sb 0.2500 0.7044 0.5144
Sb 0.7500 0.0155 0.6812
Sb 0.7500 0.2044 0.9856
Sb 0.2500 0.5155 0.8188
Sb 0.2500 0.7956 0.0144

=====

8.
Ca2SnSb | PBE | optimized geometry

## Properties
ρ: 4216 kg/m³
SG: No. 122
E_form (uncorrected): -44.43 kJ per mole of atoms
volume: 31.6 Å³ per atom
Fermi-level density of states: 0.648 states/eV per atom

Cell lengths 8.5466, 8.5466, 6.9626 Å; angles 52.14, 52.14, 90.00 degrees
Atoms (fractional coordinates):
Sb 0.7500 0.2500 0.5000
Sb 0.0000 0.0000 0.0000
Ca 0.3750 0.3640 0.7500
Ca 0.1140 0.6250 0.2500
Ca 0.6360 0.1250 0.2500
Ca 0.8750 0.8860 0.7500
Sn 0.5000 0.5000 0.0000
Sn 0.2500 0.7500 0.5000

=====

9.
Ca4SnSb | PBE | optimized geometry

## Properties
ρ: 3176 kg/m³
SG: No. 123
E_form (uncorrected): -69.73 kJ per mole of atoms
volume: 34.9 Å³ per atom
Fermi-level density of states: 0.543 states/eV per atom

Cell lengths 7.4908, 7.4888, 9.1588 Å; angles 114.15, 114.14, 90.00 degrees
Atoms (fractional coordinates):
Sn 0.5000 0.0000 0.5000
Sn 0.0000 0.5000 0.5000
Ca 0.1274 0.6272 0.2546
Ca 0.6274 0.6275 0.2545
Ca 0.3729 0.8725 0.7455
Ca 0.1272 0.1272 0.2546
Ca 0.6271 0.1275 0.2545
Ca 0.3726 0.3725 0.7455
Ca 0.8728 0.8728 0.7454
Ca 0.8726 0.3728 0.7454
Sb 0.2500 0.2500 0.0000
Sb 0.7500 0.7500 0.0000

=====

10.
Ca12Sn3Sb5 | PBE | optimized geometry

## Properties
ρ: 3042 kg/m³
SG: No. 230
E_form (uncorrected): -54.84 kJ per mole of atoms
volume: 39.5 Å³ per atom
Fermi-level density of states: 0.604 states/eV per atom

Cell lengths 16.0066, 16.0066, 16.0066 Å; angles 109.47, 109.47, 109.47 degrees
Atoms (fractional coordinates):
Ca 0.2209 0.6713 0.0956
Ca 0.8287 0.9242 0.0496
Ca 0.1713 0.0956 0.7209
Ca 0.3287 0.5496 0.4242
Ca 0.8747 0.2791 0.4504
Ca 0.2791 0.4044 0.8287
Ca 0.7209 0.5956 0.1713
Ca 0.9044 0.0758 0.6253
Ca 0.8287 0.9044 0.2791
Ca 0.0758 0.9044 0.1253
Ca 0.6713 0.4504 0.5758
Ca 0.2209 0.5496 0.6253
Ca 0.9044 0.8287 0.7791
Ca 0.5758 0.6253 0.4044
Ca 0.2791 0.8747 0.9504
Ca 0.4044 0.2791 0.3287
Ca 0.6253 0.0496 0.2209
Ca 0.1713 0.0758 0.9504
Ca 0.6253 0.5758 0.9044
Ca 0.9242 0.8287 0.5496
Ca 0.0956 0.9242 0.3747
Ca 0.0758 0.1713 0.4504
Ca 0.4504 0.7791 0.8747
Ca 0.0496 0.4242 0.8287
Ca 0.7791 0.4504 0.3747
Ca 0.0956 0.1713 0.2209
Ca 0.0496 0.6253 0.7209
Ca 0.4044 0.1253 0.5758
Ca 0.4504 0.6713 0.0758
Ca 0.9504 0.3747 0.2791
Ca 0.5758 0.9504 0.6713
Ca 0.1253 0.7209 0.5496
Ca 0.3747 0.9504 0.7791
Ca 0.4242 0.0496 0.3287
Ca 0.7209 0.1253 0.0496
Ca 0.1253 0.4044 0.0758
Ca 0.3287 0.7791 0.4044
Ca 0.9242 0.0956 0.8747
Ca 0.8747 0.5956 0.9242
Ca 0.5956 0.8747 0.4242
Ca 0.5956 0.7209 0.6713
Ca 0.5496 0.3287 0.9242
Ca 0.6713 0.2209 0.5956
Ca 0.7791 0.3287 0.9044
Ca 0.5496 0.2209 0.1253
Ca 0.3747 0.4242 0.0956
Ca 0.4242 0.3747 0.5956
Ca 0.9504 0.5758 0.1713
Sb 0.0000 0.5000 0.5000
Sb 0.5000 0.0000 0.0000
Sb 0.2500 0.8750 0.1250
Sb 0.0000 0.5000 0.0000
Sb 0.0000 0.0000 0.5000
Sb 0.7500 0.6250 0.3750
Sb 0.8750 0.6250 0.7500
Sb 0.0000 0.0000 0.0000
Sb 0.5000 0.5000 0.0000
Sb 0.6250 0.8750 0.2500
Sb 0.3750 0.2500 0.1250
Sb 0.3750 0.1250 0.7500
Sb 0.7500 0.1250 0.8750
Sb 0.6250 0.7500 0.8750
Sb 0.8750 0.2500 0.6250
Sb 0.1250 0.3750 0.2500
Sb 0.1250 0.7500 0.3750
Sb 0.5000 0.5000 0.5000
Sb 0.2500 0.3750 0.6250
Sb 0.5000 0.0000 0.5000
Sn 0.3750 0.7500 0.6250
Sn 0.2500 0.6250 0.8750
Sn 0.7500 0.3750 0.1250
Sn 0.2500 0.1250 0.3750
Sn 0.8750 0.7500 0.1250
Sn 0.3750 0.6250 0.2500
Sn 0.6250 0.2500 0.3750
Sn 0.1250 0.2500 0.8750
Sn 0.6250 0.3750 0.7500
Sn 0.1250 0.8750 0.7500
Sn 0.8750 0.1250 0.2500
Sn 0.7500 0.8750 0.6250

=====

11.
Ca2Sn2Sb | PBE | optimized geometry

## Properties
ρ: 4906 kg/m³
SG: No. 127
E_form (uncorrected): -25.94 kJ per mole of atoms
volume: 29.7 Å³ per atom
Fermi-level density of states: 0.544 states/eV per atom

Cell lengths 9.1803, 9.1803, 3.5287 Å; angles 90.00, 90.00, 90.00 degrees
Atoms (fractional coordinates):
Ca 0.6269 0.1269 0.0000
Ca 0.3731 0.8731 0.0000
Ca 0.8731 0.6269 0.0000
Ca 0.1269 0.3731 0.0000
Sb 0.5000 0.5000 0.0000
Sb 0.0000 0.0000 0.0000
Sn 0.3212 0.1788 0.5000
Sn 0.6788 0.8212 0.5000
Sn 0.1788 0.6788 0.5000
Sn 0.8212 0.3212 0.5000

=====

12.
Ca2Sn2Sb | PBE | optimized geometry

## Properties
ρ: 4895 kg/m³
SG: No. 127
E_form (uncorrected): -53.43 kJ per mole of atoms
volume: 29.8 Å³ per atom
Fermi-level density of states: 0.374 states/eV per atom

Cell lengths 8.0359, 8.0359, 4.6156 Å; angles 90.00, 90.00, 90.00 degrees
Atoms (fractional coordinates):
Ca 0.1741 0.6741 0.5000
Ca 0.8259 0.3259 0.5000
Ca 0.6741 0.8259 0.5000
Ca 0.3259 0.1741 0.5000
Sn 0.3725 0.8725 0.0000
Sn 0.6275 0.1275 0.0000
Sn 0.8725 0.6275 0.0000
Sn 0.1275 0.3725 0.0000
Sb 0.5000 0.5000 0.0000
Sb 0.0000 0.0000 0.0000